# 1
# Ti3Tl | Alexandria | PBE | optimized geometry
data_Ti3Tl
_space_group_name_H-M_alt 'P 1'
_space_group_IT_number 1
_cell_length_a 5.2753
_cell_length_b 5.2753
_cell_length_c 5.2753
_cell_angle_alpha 134.61
_cell_angle_beta 134.61
_cell_angle_gamma 66.14
loop_
_space_group_symop_operation_xyz
'x,y,z'
loop_
_atom_site_label
_atom_site_fract_x
_atom_site_fract_y
_atom_site_fract_z
Ti1 0.0000 0.0000 0.0000
Ti2 0.2500 0.7500 0.5000
Ti3 0.7500 0.2500 0.5000
Tl1 0.5000 0.5000 0.0000
# Total moment ... 0.00 μB per atom
# N(E_F) ... 3.26 states/eV/f.u.
# Energy relative to the elements ... 0.010 eV per atom
# Space group ... I4/mmm
# VASP energy ... -26.0 eV/cell

=====

# 2
# Ti3Tl | Alexandria | PBE | optimized geometry
data_Ti3Tl
_space_group_name_H-M_alt 'P 1'
_space_group_IT_number 1
_cell_length_a 4.7040
_cell_length_b 4.7040
_cell_length_c 4.7040
_cell_angle_alpha 60.00
_cell_angle_beta 60.00
_cell_angle_gamma 60.00
loop_
_space_group_symop_operation_xyz
'x,y,z'
loop_
_atom_site_label
_atom_site_fract_x
_atom_site_fract_y
_atom_site_fract_z
Ti1 0.0000 0.0000 0.0000
Ti2 0.2500 0.2500 0.2500
Ti3 0.7500 0.7500 0.7500
Tl1 0.5000 0.5000 0.5000
# Total moment ... 0.42 μB per atom
# N(E_F) ... 5.27 states/eV/f.u.
# Energy relative to the elements ... 0.122 eV per atom
# Space group ... Fm-3m
# VASP energy ... -25.6 eV/cell

=====

# 3
# Ti3Tl | Alexandria | PBE | optimized geometry
data_Ti3Tl
_space_group_name_H-M_alt 'P 1'
_space_group_IT_number 1
_cell_length_a 5.6336
_cell_length_b 5.6336
_cell_length_c 5.6336
_cell_angle_alpha 147.45
_cell_angle_beta 128.79
_cell_angle_gamma 62.00
loop_
_space_group_symop_operation_xyz
'x,y,z'
loop_
_atom_site_label
_atom_site_fract_x
_atom_site_fract_y
_atom_site_fract_z
Ti1 0.0000 0.0000 0.0000
Ti2 0.2428 0.7428 0.5000
Ti3 0.7572 0.2572 0.5000
Tl1 0.5000 0.5000 0.0000
# Total moment ... 0.00 μB per atom
# N(E_F) ... 6.31 states/eV/f.u.
# Energy relative to the elements ... 0.108 eV per atom
# Space group ... Immm
# VASP energy ... -25.6 eV/cell

=====

# 4
# Ti13Tl2 | Alexandria | PBE | optimized geometry
data_Ti13Tl2
_space_group_name_H-M_alt 'P 1'
_space_group_IT_number 1
_cell_length_a 8.3847
_cell_length_b 8.3847
_cell_length_c 8.3847
_cell_angle_alpha 50.68
_cell_angle_beta 50.68
_cell_angle_gamma 50.68
loop_
_space_group_symop_operation_xyz
'x,y,z'
loop_
_atom_site_label
_atom_site_fract_x
_atom_site_fract_y
_atom_site_fract_z
Ti1 0.0000 0.0000 0.0000
Ti2 0.1203 0.1203 0.4953
Ti3 0.1203 0.4953 0.1203
Ti4 0.2417 0.2417 0.6167
Ti5 0.2417 0.6167 0.2417
Ti6 0.3833 0.7583 0.7583
Ti7 0.4953 0.1203 0.1203
Ti8 0.5047 0.8797 0.8797
Ti9 0.6167 0.2417 0.2417
Ti10 0.7583 0.3833 0.7583
Ti11 0.7583 0.7583 0.3833
Ti12 0.8797 0.5047 0.8797
Ti13 0.8797 0.8797 0.5047
Tl1 0.1349 0.1349 0.1349
Tl2 0.8651 0.8651 0.8651
# Total moment ... 0.18 μB per atom
# N(E_F) ... 23.94 states/eV/f.u.
# Energy relative to the elements ... 0.536 eV per atom
# Space group ... R-3m
# VASP energy ... -99.3 eV/cell

=====

# 5
# Ti3Tl | Alexandria | PBE | optimized geometry
data_Ti3Tl
_space_group_name_H-M_alt 'P 1'
_space_group_IT_number 1
_cell_length_a 5.2555
_cell_length_b 5.2555
_cell_length_c 5.2555
_cell_angle_alpha 90.00
_cell_angle_beta 90.00
_cell_angle_gamma 90.00
loop_
_space_group_symop_operation_xyz
'x,y,z'
loop_
_atom_site_label
_atom_site_fract_x
_atom_site_fract_y
_atom_site_fract_z
Ti1 0.0000 0.2500 0.5000
Ti2 0.0000 0.7500 0.5000
Ti3 0.2500 0.5000 0.0000
Ti4 0.5000 0.0000 0.2500
Ti5 0.5000 0.0000 0.7500
Ti6 0.7500 0.5000 0.0000
Tl1 0.0000 0.0000 0.0000
Tl2 0.5000 0.5000 0.5000
# Total moment ... 0.00 μB per atom
# N(E_F) ... 3.20 states/eV/f.u.
# Energy relative to the elements ... -0.015 eV per atom
# Space group ... Pm-3n
# VASP energy ... -52.2 eV/cell

=====

# 6
# TiTl3 | Alexandria | PBE | optimized geometry
data_TiTl3
_space_group_name_H-M_alt 'P 1'
_space_group_IT_number 1
_cell_length_a 4.5877
_cell_length_b 4.5877
_cell_length_c 4.5877
_cell_angle_alpha 90.00
_cell_angle_beta 90.00
_cell_angle_gamma 90.00
loop_
_space_group_symop_operation_xyz
'x,y,z'
loop_
_atom_site_label
_atom_site_fract_x
_atom_site_fract_y
_atom_site_fract_z
Ti1 0.0000 0.0000 0.0000
Tl1 0.0000 0.5000 0.5000
Tl2 0.5000 0.0000 0.5000
Tl3 0.5000 0.5000 0.0000
# Total moment ... 0.00 μB per atom
# N(E_F) ... 4.25 states/eV/f.u.
# Energy relative to the elements ... 0.299 eV per atom
# Space group ... Pm-3m
# VASP energy ... -13.8 eV/cell

=====

# 7
# Ti4Tl | Alexandria | PBE | optimized geometry
data_Ti4Tl
_space_group_name_H-M_alt 'P 1'
_space_group_IT_number 1
_cell_length_a 5.0255
_cell_length_b 5.0255
_cell_length_c 5.0255
_cell_angle_alpha 124.70
_cell_angle_beta 102.61
_cell_angle_gamma 102.27
loop_
_space_group_symop_operation_xyz
'x,y,z'
loop_
_atom_site_label
_atom_site_fract_x
_atom_site_fract_y
_atom_site_fract_z
Ti1 0.1951 0.1951 0.0000
Ti2 0.1960 0.5000 0.6960
Ti3 0.8040 0.5000 0.3040
Ti4 0.8049 0.8049 0.0000
Tl1 0.5000 0.0000 0.5000
# Total moment ... 0.00 μB per atom
# Energy above the most stable polymorph in this dataset ... 187 meV per atom
# N(E_F) ... 5.99 states/eV/f.u.
# Energy relative to the elements ... 0.221 eV per atom
# Space group ... Immm
# VASP energy ... -32.8 eV/cell

=====

# 8
# Ti3Tl | Alexandria | PBE | optimized geometry
data_Ti3Tl
_space_group_name_H-M_alt 'P 1'
_space_group_IT_number 1
_cell_length_a 2.9723
_cell_length_b 4.8301
_cell_length_c 5.2211
_cell_angle_alpha 90.00
_cell_angle_beta 90.00
_cell_angle_gamma 90.00
loop_
_space_group_symop_operation_xyz
'x,y,z'
loop_
_atom_site_label
_atom_site_fract_x
_atom_site_fract_y
_atom_site_fract_z
Ti1 0.0000 0.0000 0.0000
Ti2 0.0000 0.5000 0.3053
Ti3 0.5000 0.0000 0.4542
Tl1 0.5000 0.5000 0.7987
# Total moment ... 0.00 μB per atom
# N(E_F) ... 4.52 states/eV/f.u.
# Energy relative to the elements ... 0.100 eV per atom
# Space group ... Pmm2
# VASP energy ... -25.7 eV/cell

=====

- N(E_F) of number 2 (Ti3Tl)?
  5.27 states/eV/f.u.

=====

Please write out number 4 again, unchanged.
# Ti13Tl2 | Alexandria | PBE | optimized geometry
data_Ti13Tl2
_space_group_name_H-M_alt 'P 1'
_space_group_IT_number 1
_cell_length_a 8.3847
_cell_length_b 8.3847
_cell_length_c 8.3847
_cell_angle_alpha 50.68
_cell_angle_beta 50.68
_cell_angle_gamma 50.68
loop_
_space_group_symop_operation_xyz
'x,y,z'
loop_
_atom_site_label
_atom_site_fract_x
_atom_site_fract_y
_atom_site_fract_z
Ti1 0.0000 0.0000 0.0000
Ti2 0.1203 0.1203 0.4953
Ti3 0.1203 0.4953 0.1203
Ti4 0.2417 0.2417 0.6167
Ti5 0.2417 0.6167 0.2417
Ti6 0.3833 0.7583 0.7583
Ti7 0.4953 0.1203 0.1203
Ti8 0.5047 0.8797 0.8797
Ti9 0.6167 0.2417 0.2417
Ti10 0.7583 0.3833 0.7583
Ti11 0.7583 0.7583 0.3833
Ti12 0.8797 0.5047 0.8797
Ti13 0.8797 0.8797 0.5047
Tl1 0.1349 0.1349 0.1349
Tl2 0.8651 0.8651 0.8651
# Total moment ... 0.18 μB per atom
# N(E_F) ... 23.94 states/eV/f.u.
# Energy relative to the elements ... 0.536 eV per atom
# Space group ... R-3m
# VASP energy ... -99.3 eV/cell

=====

- What is the formula in the seventh record?
  Ti4Tl